Entry 1:
This record from Alexandria describes crystalline BaCu2Pb at its relaxed geometry. The functional is PBE.

Results
Its space-group type is I4_1/amd (141).

POSCAR file:
```
BaCu2Pb
1.0
5.1998 0.0000 0.0000
0.0000 5.1998 0.0000
2.5999 2.5999 8.9758
Ba Pb Cu
2 2 4
Cartesian
2.5999 2.5999 0.0000
2.5999 5.1998 4.4879
0.0000 0.0000 0.0000
5.1998 2.5999 4.4879
5.1983 1.3000 2.2440
6.4998 2.5984 6.7319
5.2013 3.8999 2.2440
3.8999 2.6014 6.7319
```



Entry 2:
This record from Alexandria describes crystalline BaCu2Pb at its relaxed geometry. The functional is PBE.

Results
Its space-group type is I-4m2 (119).

POSCAR file:
```
BaCu2Pb
1.0
5.2509 -0.4775 0.0000
0.6369 5.2340 0.0000
-2.9439 -2.3782 3.6712
Cu Ba Pb
2 1 1
Cartesian
0.0000 0.0000 0.0000
0.3184 2.6170 1.8356
2.6255 -0.2387 1.8356
2.9439 2.3782 0.0000
```



no.,energy of formation (meV/atom)
1,15
2,287